P | DFT (PBE) results for a relaxed CsSbHIr crystal.

Lattice parameters (Å, degrees): 9.0545 3.3020 6.7762 90.00 104.75 90.00
Element x y z (fractional)
1 Cs 0.0000 0.0000 0.0000
2 Cs 0.5000 0.5000 0.0000
3 Sb 0.1351 0.5000 0.5478
4 Sb 0.6351 0.0000 0.5478
5 H 0.3616 0.5000 0.3439
6 H 0.8616 0.0000 0.3439
7 Ir 0.3355 0.0000 0.4410
8 Ir 0.8355 0.5000 0.4410

Summary:
Space group ... Cm (8)
Total magnetization ... 0.00 μB per atom
N(E_F) ... 0.11 states/eV/atom

---

Q | DFT (PBE) results for a relaxed CsSbHIr crystal.

Lattice parameters (Å, degrees): 3.6180 3.6180 14.2094 90.00 90.00 90.00
Element x y z (fractional)
1 Cs 0.0000 0.0000 0.0000
2 Cs 0.5000 0.5000 0.5000
3 Sb 0.0000 0.0000 0.7268
4 Sb 0.5000 0.5000 0.2268
5 H 0.0000 0.0000 0.4074
6 H 0.5000 0.5000 0.9074
7 Ir 0.0000 0.0000 0.2919
8 Ir 0.5000 0.5000 0.7919

Summary:
Space group ... I4mm (107)
Total magnetization ... 0.00 μB per atom
N(E_F) ... 0.60 states/eV/atom

---

Name the least stable of them. P.

---

P | DFT (PBE) results for a relaxed CsSbHIr crystal.

Lattice parameters (Å, degrees): 7.9155 4.0683 7.2458 90.00 108.94 90.00
Element x y z (fractional)
1 Cs 0.0000 0.0000 0.0000
2 Cs 0.5000 0.5000 0.0000
3 Sb 0.1879 0.0000 0.5552
4 Sb 0.6879 0.5000 0.5552
5 H 0.3828 0.0000 0.2289
6 H 0.8828 0.5000 0.2289
7 Ir 0.4792 0.0000 0.4645
8 Ir 0.9792 0.5000 0.4645

Summary:
Space group ... Cm (8)
Total magnetization ... 0.00 μB per atom
N(E_F) ... 0.39 states/eV/atom

---

Q | DFT (PBE) results for a relaxed CsSbHIr crystal.

Lattice parameters (Å, degrees): 6.3304 3.6609 8.9356 90.00 90.00 90.00
Element x y z (fractional)
1 Cs 0.0000 0.0000 0.0000
2 Cs 0.0000 0.5000 0.5000
3 Sb 0.5000 0.0000 0.2995
4 Sb 0.5000 0.5000 0.7995
5 H 0.5000 0.0000 0.0387
6 H 0.5000 0.5000 0.5387
7 Ir 0.5000 0.0000 0.5909
8 Ir 0.5000 0.5000 0.0909

Summary:
Space group ... Amm2 (38)
Total magnetization ... 0.00 μB per atom
N(E_F) ... 0.51 states/eV/atom

---

Name the least stable of them. Q.

---

P | DFT (PBE) results for a relaxed CsKH crystal.

Lattice parameters (Å, degrees): 6.4965 6.5098 12.4890 90.00 90.04 90.00
Element x y z (fractional)
1 Cs 0.2492 0.0000 0.3778
2 Cs 0.2508 0.5000 0.6222
3 Cs 0.7492 0.5000 0.3778
4 Cs 0.7508 0.0000 0.6222
5 K 0.2491 0.5000 0.1280
6 K 0.2509 0.0000 0.8720
7 K 0.7491 0.0000 0.1280
8 K 0.7509 0.5000 0.8720
9 H 0.2489 0.5000 0.3718
10 H 0.2511 0.0000 0.6282
11 H 0.7489 0.0000 0.3718
12 H 0.7511 0.5000 0.6282

Summary:
Space group ... C2/m (12)
Total magnetization ... 0.00 μB per atom
N(E_F) ... 0.40 states/eV/atom

---

Q | DFT (PBE) results for a relaxed CsKH crystal.

Lattice parameters (Å, degrees): 3.9695 3.9695 16.1250 90.00 90.00 90.00
Element x y z (fractional)
1 Cs 0.0000 0.0000 0.0000
2 Cs 0.5000 0.5000 0.5000
3 K 0.0000 0.0000 0.2292
4 K 0.5000 0.5000 0.7292
5 H 0.0000 0.0000 0.5974
6 H 0.5000 0.5000 0.0974

Summary:
Space group ... I4mm (107)
Total magnetization ... 0.00 μB per atom
N(E_F) ... 0.29 states/eV/atom

---

Name the least stable of them. Q.

---

P | DFT (PBE) results for a relaxed CsKH crystal.

Lattice parameters (Å, degrees): 4.9035 4.9131 14.7056 90.07 90.11 119.83
Element x y z (fractional)
1 Cs 0.1690 0.3323 0.3449
2 Cs 0.8310 0.6677 0.6551
3 K 0.1654 0.3312 0.9071
4 K 0.8346 0.6688 0.0929
5 H 0.1679 0.3337 0.0935
6 H 0.8321 0.6663 0.9065

Summary:
Space group ... P-1 (2)
Total magnetization ... 0.00 μB per atom
N(E_F) ... 0.47 states/eV/atom

---

Q | DFT (PBE) results for a relaxed CsKH crystal.

Lattice parameters (Å, degrees): 7.7999 7.7999 7.7999 90.00 90.00 90.00
Element x y z (fractional)
1 Cs 0.0000 0.0000 0.0000
2 Cs 0.0000 0.5000 0.5000
3 Cs 0.5000 0.0000 0.5000
4 Cs 0.5000 0.5000 0.0000
5 K 0.0000 0.0000 0.5000
6 K 0.0000 0.5000 0.0000
7 K 0.5000 0.0000 0.0000
8 K 0.5000 0.5000 0.5000
9 H 0.2500 0.2500 0.7500
10 H 0.2500 0.7500 0.2500
11 H 0.7500 0.2500 0.2500
12 H 0.7500 0.7500 0.7500

Summary:
Space group ... F-43m (216)
Total magnetization ... 0.32 μB per atom
N(E_F) ... 0.32 states/eV/atom

---

Name the least stable of them. Q.

---

P | DFT (PBE) results for a relaxed Cs2KH crystal.

Lattice parameters (Å, degrees): 9.4573 9.4573 12.5950 90.00 90.00 90.00
Element x y z (fractional)
1 Cs 0.0793 0.2500 0.1250
2 Cs 0.2500 0.5793 0.3750
3 Cs 0.2500 0.9207 0.8750
4 Cs 0.4207 0.2500 0.6250
5 Cs 0.5793 0.7500 0.6250
6 Cs 0.7500 0.0793 0.8750
7 Cs 0.7500 0.4207 0.3750
8 Cs 0.9207 0.7500 0.1250
9 K 0.0000 0.0000 0.5000
10 K 0.0000 0.5000 0.7500
11 K 0.5000 0.0000 0.2500
12 K 0.5000 0.5000 0.0000
13 H 0.0000 0.0000 0.0000
14 H 0.0000 0.5000 0.2500
15 H 0.5000 0.0000 0.7500
16 H 0.5000 0.5000 0.5000

Summary:
Space group ... I-42d (122)
Total magnetization ... 0.00 μB per atom
N(E_F) ... 0.40 states/eV/atom

---

Q | DFT (PBE) results for a relaxed Cs2KH crystal.

Lattice parameters (Å, degrees): 4.2473 4.2473 12.2512 90.00 90.00 90.00
Element x y z (fractional)
1 Cs 0.0000 0.0000 0.1568
2 Cs 0.0000 0.0000 0.8432
3 K 0.5000 0.5000 0.5000
4 H 0.5000 0.5000 0.0000

Summary:
Space group ... P4/mmm (123)
Total magnetization ... 0.00 μB per atom
N(E_F) ... 0.61 states/eV/atom

---

Name the least stable of them. Q.

---

P | DFT (PBE) results for a relaxed Cs2KH crystal.

Lattice parameters (Å, degrees): 4.6525 4.6525 37.7704 90.00 90.00 120.00
Element x y z (fractional)
1 Cs 0.0000 0.0000 0.1191
2 Cs 0.0000 0.0000 0.8809
3 Cs 0.3333 0.6667 0.5476
4 Cs 0.3333 0.6667 0.7857
5 Cs 0.6667 0.3333 0.2143
6 Cs 0.6667 0.3333 0.4524
7 K 0.0000 0.0000 0.0000
8 K 0.3333 0.6667 0.6667
9 K 0.6667 0.3333 0.3333
10 H 0.0000 0.0000 0.5000
11 H 0.3333 0.6667 0.1667
12 H 0.6667 0.3333 0.8333

Summary:
Space group ... R-3m (166)
Total magnetization ... 0.00 μB per atom
N(E_F) ... 0.62 states/eV/atom

---

Q | DFT (PBE) results for a relaxed Cs2KH crystal.

Lattice parameters (Å, degrees): 10.0421 10.0421 10.0421 90.00 90.00 90.00
Element x y z (fractional)
1 Cs 0.2500 0.2500 0.2500
2 Cs 0.2500 0.2500 0.7500
3 Cs 0.2500 0.7500 0.2500
4 Cs 0.2500 0.7500 0.7500
5 Cs 0.7500 0.2500 0.2500
6 Cs 0.7500 0.2500 0.7500
7 Cs 0.7500 0.7500 0.2500
8 Cs 0.7500 0.7500 0.7500
9 K 0.0000 0.0000 0.0000
10 K 0.0000 0.5000 0.5000
11 K 0.5000 0.0000 0.5000
12 K 0.5000 0.5000 0.0000
13 H 0.0000 0.0000 0.5000
14 H 0.0000 0.5000 0.0000
15 H 0.5000 0.0000 0.0000
16 H 0.5000 0.5000 0.5000

Summary:
Space group ... Fm-3m (225)
Total magnetization ... 0.00 μB per atom
N(E_F) ... 0.05 states/eV/atom

---

Name the least stable of them. Q.